Version i
{"formula": "Tb4YTm6", "functional": "PBE-GGA", "state": "optimized geometry", "cell": [[-0.4298, -7.4317, -1.6777], [5.2699, -1.5036, 5.3101], [-7.0541, 3.7437, 2.5778]], "species": ["Tb", "Tb", "Tb", "Tb", "Y", "Tm", "Tm", "Tm", "Tm", "Tm", "Tm"], "fractional_positions": [[0.0949, 0.7546, 0.8495], [0.9051, 0.9051, 0.1505], [0.7546, 0.0949, 0.8495], [0.2454, 0.2454, 0.1505], [0.5000, 0.5000, 0.0000], [0.9326, 0.4343, 0.3668], [0.4343, 0.9326, 0.3668], [0.5657, 0.5657, 0.6332], [0.0000, 0.5000, 0.0000], [0.0674, 0.0674, 0.6332], [0.5000, 0.0000, 0.0000]]}

Version ii
{"formula": "Tb4YTm6", "functional": "PBE-GGA", "state": "optimized geometry", "cell": [[0.3175, 9.5994, 0.7150], [-0.2466, -6.9445, -6.6689], [-6.3243, -7.2593, 0.2570]], "species": ["Tb", "Tb", "Tb", "Tb", "Y", "Tm", "Tm", "Tm", "Tm", "Tm", "Tm"], "fractional_positions": [[0.0000, 0.6384, 0.0133], [0.3748, 0.3616, 0.3616], [0.0000, 0.0133, 0.6384], [0.6252, 0.9867, 0.9867], [0.0000, 0.0000, 0.0000], [0.0000, 0.8089, 0.4504], [0.0000, 0.4504, 0.8089], [0.3585, 0.5496, 0.5496], [0.5000, 0.5000, 0.0000], [0.6415, 0.1911, 0.1911], [0.5000, 0.0000, 0.5000]]}

Stability verdict: version ii, ahead by 0.154 eV/atom

Version i
{"formula": "Tb3YTm3", "functional": "PBE-GGA", "state": "optimized geometry", "cell": [[-0.2777, -6.1094, 0.3993], [4.9816, -3.1966, 1.5895], [-2.0963, -2.0461, 14.2708]], "species": ["Tb", "Tb", "Tb", "Tb", "Tb", "Tb", "Y", "Y", "Tm", "Tm", "Tm", "Tm", "Tm", "Tm"], "fractional_positions": [[0.1989, 0.8674, 0.3971], [0.5366, 0.1989, 0.3971], [0.8674, 0.5366, 0.3971], [0.1326, 0.4634, 0.6029], [0.4634, 0.8011, 0.6029], [0.8011, 0.1326, 0.6029], [0.6667, 0.6667, 0.9999], [0.3333, 0.3333, 0.0001], [0.9337, 0.2676, 0.1992], [0.5994, 0.9337, 0.1992], [0.2676, 0.5994, 0.1992], [0.7324, 0.4006, 0.8008], [0.4006, 0.0663, 0.8008], [0.0663, 0.7324, 0.8008]]}

Version ii
{"formula": "Tb3YTm3", "functional": "PBE-GGA", "state": "optimized geometry", "cell": [[-5.0817, -2.0252, -1.2870], [1.9584, -7.9810, 4.8260], [-4.0683, 7.3819, 4.4478]], "species": ["Tb", "Tb", "Tb", "Tb", "Tb", "Tb", "Y", "Y", "Tm", "Tm", "Tm", "Tm", "Tm", "Tm"], "fractional_positions": [[0.7500, 0.7608, 0.8068], [0.7500, 0.0462, 0.2392], [0.7500, 0.1930, 0.9539], [0.2500, 0.2392, 0.1932], [0.2500, 0.9538, 0.7608], [0.2500, 0.8070, 0.0461], [0.7500, 0.3333, 0.6667], [0.2500, 0.6667, 0.3333], [0.2500, 0.5244, 0.6185], [0.2500, 0.0940, 0.4755], [0.2500, 0.3815, 0.9061], [0.7500, 0.4756, 0.3815], [0.7500, 0.9060, 0.5245], [0.7500, 0.6185, 0.0939]]}

Stability verdict: version ii, ahead by 0.145 eV/atom

Version i
{"formula": "Tb2Y5Tm5", "functional": "PBE-GGA", "state": "optimized geometry", "cell": [[4.9944, 0.0000, 0.0000], [-2.4972, 7.4846, -0.4847], [0.0000, -4.3376, 10.3055]], "species": ["Tb", "Tb", "Y", "Y", "Y", "Y", "Y", "Tm", "Tm", "Tm", "Tm", "Tm"], "fractional_positions": [[0.0831, 0.1663, 0.7511], [0.9169, 0.8337, 0.2489], [0.1653, 0.3305, 0.4990], [0.7507, 0.5013, 0.7516], [0.2493, 0.4987, 0.2484], [0.8347, 0.6695, 0.5010], [0.0000, 0.0000, 0.0000], [0.5000, 0.0000, 0.5000], [0.6673, 0.3347, 0.0003], [0.5825, 0.1650, 0.2495], [0.4175, 0.8350, 0.7505], [0.3327, 0.6653, 0.9997]]}

Version ii
{"formula": "Tb2Y5Tm5", "functional": "PBE-GGA", "state": "optimized geometry", "cell": [[5.4147, 0.0000, 1.3313], [2.4399, 5.8397, 1.7532], [-0.0420, 0.0459, 11.8478]], "species": ["Tb", "Tb", "Y", "Y", "Y", "Y", "Y", "Tm", "Tm", "Tm", "Tm", "Tm"], "fractional_positions": [[0.9628, 0.3608, 0.7137], [0.0372, 0.6392, 0.2863], [0.5000, 0.5000, 0.5000], [0.2964, 0.3588, 0.0485], [0.4648, 0.8565, 0.2140], [0.5352, 0.1435, 0.7860], [0.7036, 0.6412, 0.9515], [0.7968, 0.8609, 0.5455], [0.2491, 0.7544, 0.7475], [0.7509, 0.2456, 0.2525], [0.2032, 0.1391, 0.4545], [0.0000, 0.0000, 0.0000]]}

Stability verdict: version i, ahead by 0.044 eV/atom

Version i
{"formula": "Tb5Y2Tm3", "functional": "PBE-GGA", "state": "optimized geometry", "cell": [[6.7217, 0.0000, 0.0000], [3.3609, 11.4679, 2.8800], [3.3609, 5.8200, 10.2924]], "species": ["Tb", "Tb", "Tb", "Tb", "Tb", "Tb", "Tb", "Tb", "Tb", "Tb", "Y", "Y", "Y", "Y", "Tm", "Tm", "Tm", "Tm", "Tm", "Tm"], "fractional_positions": [[0.2500, 0.5000, 0.5000], [0.7500, 0.5000, 0.5000], [0.5010, 0.7490, 0.7490], [0.9990, 0.2510, 0.2510], [0.4990, 0.2510, 0.2510], [0.0010, 0.7490, 0.7490], [0.1238, 0.4690, 0.2834], [0.8762, 0.5310, 0.7166], [0.6238, 0.2834, 0.4690], [0.3762, 0.7166, 0.5310], [0.1253, 0.7807, 0.9687], [0.8747, 0.2193, 0.0313], [0.6253, 0.9687, 0.7807], [0.3747, 0.0313, 0.2193], [0.2500, 0.0000, 0.0000], [0.7500, 0.0000, 0.0000], [0.3777, 0.3713, 0.8732], [0.6223, 0.6287, 0.1268], [0.8777, 0.8732, 0.3713], [0.1223, 0.1268, 0.6287]]}

Version ii
{"formula": "Tb5Y2Tm3", "functional": "PBE-GGA", "state": "optimized geometry", "cell": [[-7.9003, 5.2487, -0.8688], [-6.1323, -1.5036, 7.1619], [10.3543, 3.8227, 0.9072]], "species": ["Tb", "Tb", "Tb", "Tb", "Tb", "Tb", "Tb", "Tb", "Tb", "Tb", "Y", "Y", "Y", "Y", "Tm", "Tm", "Tm", "Tm", "Tm", "Tm"], "fractional_positions": [[0.2798, 0.5298, 0.0596], [0.7202, 0.4702, 0.9404], [0.0173, 0.7673, 0.5346], [0.5222, 0.2722, 0.5444], [0.9827, 0.2327, 0.4654], [0.4778, 0.7278, 0.4556], [0.8731, 0.6203, 0.7709], [0.1269, 0.3797, 0.2291], [0.3978, 0.1506, 0.7709], [0.6022, 0.8494, 0.2291], [0.7827, 0.0189, 0.7552], [0.2173, 0.9811, 0.2448], [0.4725, 0.7363, 0.7552], [0.5275, 0.2637, 0.2448], [0.2228, 0.9728, 0.9455], [0.7772, 0.0272, 0.0545], [0.7272, 0.4625, 0.2385], [0.2728, 0.5375, 0.7615], [0.0113, 0.7760, 0.2385], [0.9887, 0.2240, 0.7615]]}

Stability verdict: version ii, ahead by 0.219 eV/atom

Version i
{"formula": "Tb3Y5Tm4", "functional": "PBE-GGA", "state": "optimized geometry", "cell": [[-5.3807, -1.3552, 4.4087], [3.9149, -6.1423, -8.5028], [-0.0548, 3.3064, 12.3266]], "species": ["Tb", "Tb", "Tb", "Y", "Y", "Y", "Y", "Y", "Tm", "Tm", "Tm", "Tm"], "fractional_positions": [[0.5854, 0.1679, 0.3342], [0.0000, 0.0000, 0.5000], [0.4146, 0.8321, 0.6658], [0.3351, 0.6664, 0.8316], [0.5000, 0.0000, 0.5000], [0.7493, 0.5007, 0.0008], [0.2507, 0.4993, 0.9992], [0.6649, 0.3336, 0.1684], [0.9173, 0.8327, 0.6665], [0.8360, 0.6699, 0.8342], [0.1640, 0.3301, 0.1658], [0.0827, 0.1673, 0.3335]]}

Version ii
{"formula": "Tb3Y5Tm4", "functional": "PBE-GGA", "state": "optimized geometry", "cell": [[5.8355, 0.0000, 0.0000], [2.9177, 7.5507, -2.6966], [2.9177, -0.9056, 9.0784]], "species": ["Tb", "Tb", "Tb", "Y", "Y", "Y", "Y", "Y", "Tm", "Tm", "Tm", "Tm"], "fractional_positions": [[0.5208, 0.6871, 0.2714], [0.0000, 0.5000, 0.5000], [0.4792, 0.3130, 0.7286], [0.6261, 0.9492, 0.7986], [0.5000, 0.5000, 0.5000], [0.2135, 0.4598, 0.1131], [0.7865, 0.5402, 0.8869], [0.3739, 0.0508, 0.2014], [0.8595, 0.2209, 0.0600], [0.1643, 0.0490, 0.6224], [0.8357, 0.9510, 0.3776], [0.1405, 0.7791, 0.9400]]}

Stability verdict: version i, ahead by 0.223 eV/atom

Version i
{"formula": "TbY2Tm", "functional": "PBE-GGA", "state": "optimized geometry", "cell": [[-2.2012, -2.0718, 1.8454], [2.1440, -4.0674, -2.0089], [4.6625, -0.1861, 5.3526]], "species": ["Tb", "Y", "Y", "Tm"], "fractional_positions": [[0.0000, 0.0000, 0.5021], [0.0000, 0.0000, 0.9978], [0.5000, 0.5000, 0.2507], [0.5000, 0.5000, 0.7493]]}

Version ii
{"formula": "TbY2Tm", "functional": "PBE-GGA", "state": "optimized geometry", "cell": [[3.5782, 0.0000, 0.0000], [1.7891, 3.0988, 0.0000], [1.7891, 1.0329, 11.4320]], "species": ["Tb", "Y", "Y", "Tm"], "fractional_positions": [[0.6664, 0.6664, 0.0009], [0.0844, 0.0844, 0.7468], [0.2489, 0.2489, 0.2534], [0.5004, 0.5004, 0.4989]]}

Version iii
{"formula": "TbY2Tm", "functional": "PBE-GGA", "state": "optimized geometry", "cell": [[-5.1142, -2.1904, -1.0722], [-0.7501, -3.3819, -4.4836], [-0.9240, -5.5391, 0.7526]], "species": ["Y", "Y", "Tm", "Tb"], "fractional_positions": [[0.2500, 0.2500, 0.2500], [0.7500, 0.7500, 0.7500], [0.5000, 0.5000, 0.5000], [0.0000, 0.0000, 0.0000]]}

Stability verdict: version ii, ahead by 0.014 eV/atom